1.
Here is a relaxed CuNi2Rh crystal from the Alexandria database. Energies are from PBEsol.

Unit cell a=2.5716 b=2.5716 c=6.9641 alpha=90.00 beta=90.00 gamma=90.00
Last column: nearest neighbours and their distance in Å.
Atoms (fractional coordinates):
Ni  0.0000  0.0000  0.0056  8 Ni 2.43-2.57, 4 Cu 2.48
Ni  0.5000  0.5000  0.2381  8 Ni 2.43-2.57, 4 Rh 2.54
Rh  0.0000  0.0000  0.4928  4 Ni 2.54, 4 Rh 2.57, 4 Cu 2.62
Cu  0.5000  0.5000  0.7635  4 Ni 2.48, 4 Cu 2.57, 4 Rh 2.62

Properties
DFT formation energy ... 0.075 eV/atom



2.
Here is a relaxed YCu2 crystal from the Alexandria database. Energies are from PBEsol.

Unit cell a=3.8025 b=3.8025 c=7.9310 alpha=103.87 beta=103.87 gamma=90.00
Last column: nearest neighbours and their distance in Å.
Atoms (fractional coordinates):
Cu  0.4198  0.4198  0.8397  3 Cu 2.32-2.39
Cu  0.6698  0.1698  0.3397  3 Cu 2.32-2.39
Cu  0.5802  0.5802  0.1603  3 Cu 2.32-2.39
Y  0.2500  0.7500  0.5000  12 Cu 2.94-3.17
Cu  0.8302  0.3302  0.6603  3 Cu 2.32-2.39
Y  0.0000  0.0000  0.0000  12 Cu 2.94-3.17

Properties
DFT formation energy ... -0.199 eV/atom



3.
Here is a relaxed ZrCoAu crystal from the Alexandria database. Energies are from PBEsol.

Unit cell a=4.2146 b=4.2146 c=4.2146 alpha=60.00 beta=60.00 gamma=60.00
Last column: nearest neighbours and their distance in Å.
Atoms (fractional coordinates):
Au  0.5000  0.5000  0.5000  4 Co 2.58
Zr  0.0000  0.0000  0.0000  4 Co 2.58
Co  0.2500  0.2500  0.2500  4 Zr 2.58, 4 Au 2.58

Properties
DFT formation energy ... -0.126 eV/atom



4.
Here is a relaxed Be3HW crystal from the Alexandria database. Energies are from PBEsol.

Unit cell a=3.4624 b=3.4624 c=3.4624 alpha=90.00 beta=90.00 gamma=90.00
Last column: nearest neighbours and their distance in Å.
Atoms (fractional coordinates):
Be  0.0000  0.0000  0.5000  2 H 1.73
H  0.0000  0.0000  0.0000  6 Be 1.73
Be  0.5000  0.0000  0.0000  2 H 1.73
W  0.5000  0.5000  0.5000  12 Be 2.45
Be  0.0000  0.5000  0.0000  2 H 1.73

Properties
Energy ... -5.65 eV per atom



5.
Here is a relaxed RbNiPS2 crystal from the Alexandria database. Energies are from PBEsol.

Unit cell a=5.3307 b=5.3307 c=5.2617 alpha=90.00 beta=90.00 gamma=90.00
Last column: nearest neighbours and their distance in Å.
Atoms (fractional coordinates):
S  0.5000  0.0000  0.0000  2 Rb 2.67
S  0.0000  0.5000  0.0000  2 Rb 2.67
P  0.0000  0.0000  0.5000  2 Rb 2.63
Ni  0.5000  0.5000  0.5000  8 S 3.75, 4 P 3.77
Rb  0.0000  0.0000  0.0000  2 P 2.63, 4 S 2.67

Properties
Raw formation energy ... 2.174 eV/atom



6.
Here is a relaxed Li6MnFe5B6O18 crystal from the Alexandria database. Energies are from PBEsol.

Unit cell a=5.9606 b=8.1496 c=8.6582 alpha=117.98 beta=110.13 gamma=90.00
Last column: nearest neighbours and their distance in Å.
Atoms (fractional coordinates):
Li  0.1003  0.9878  0.6999  4 O 1.93-1.95
O  0.6233  0.5306  0.7446  1 B 1.39
Fe  0.8200  0.6342  0.6400  5 O 1.98-2.09
Li  0.3917  0.3004  0.2865  4 O 1.94-1.95
B  0.4988  0.9983  0.9977  3 O 1.38-1.39
O  0.3187  0.5587  0.1371  1 B 1.39
Li  0.8948  0.3004  0.2865  4 O 1.94-1.95
O  0.0439  0.8920  0.0879  1 B 1.39
B  0.0861  0.3352  0.6673  3 O 1.38-1.39
O  0.9665  0.8607  0.4236  1 B 1.38
Fe  0.3205  0.6349  0.6410  5 O 1.98-2.09
O  0.9945  0.2176  0.4721  1 B 1.38
Mn  0.6841  0.0097  0.3682  5 O 2.03-2.13
B  0.9999  0.0010  0.9997  3 O 1.38-1.39
Fe  0.1813  0.0030  0.3626  5 O 1.95-2.09
O  0.8184  0.5587  0.1371  1 B 1.39
O  0.4008  0.9149  0.8017  1 B 1.39
O  0.4571  0.8607  0.4236  1 B 1.38
B  0.5812  0.3352  0.6673  3 O 1.38-1.39
O  0.5550  0.1943  0.1101  1 B 1.39
Li  0.5997  0.9878  0.6999  4 O 1.93-1.95
Li  0.2566  0.7117  0.0127  4 O 1.93-1.96
O  0.6422  0.2582  0.7862  1 B 1.39
O  0.0543  0.1964  0.1087  1 B 1.38
Fe  0.9967  0.3604  0.9934  5 O 1.98-2.09
O  0.4776  0.2176  0.4721  1 B 1.38
O  0.5405  0.8861  0.0810  1 B 1.38
O  0.1440  0.2582  0.7862  1 B 1.39
B  0.9192  0.6653  0.3340  3 O 1.38-1.39
O  0.1213  0.5306  0.7446  1 B 1.39
O  0.4700  0.5752  0.4405  1 B 1.39
O  0.9706  0.5752  0.4405  1 B 1.39
Fe  0.4976  0.3591  0.9951  5 O 1.98-2.09
Li  0.7561  0.7117  0.0127  4 O 1.93-1.96
B  0.4149  0.6653  0.3340  3 O 1.38-1.39
O  0.9019  0.9132  0.8037  1 B 1.38

Properties
Raw formation energy ... -1.855 eV/atom



7.
Here is a relaxed RbCuAsIr2 crystal from the Alexandria database. Energies are from PBEsol.

Unit cell a=4.6322 b=4.6322 c=4.7920 alpha=90.00 beta=90.00 gamma=90.00
Last column: nearest neighbours and their distance in Å.
Atoms (fractional coordinates):
Cu  0.0000  0.0000  0.5000  2 As 2.40
Ir  0.5000  0.0000  0.0000  2 As 2.32
Ir  0.0000  0.5000  0.0000  2 As 2.32
As  0.0000  0.0000  0.0000  4 Ir 2.32, 2 Cu 2.40
Rb  0.5000  0.5000  0.5000  4 Cu 3.28, 8 Ir 3.33

Properties
DFT formation energy ... 0.830 eV/atom



8.
Here is a relaxed MnZn3Se crystal from the Alexandria database. Energies are from PBEsol.

Unit cell a=4.7990 b=4.7990 c=4.7990 alpha=90.00 beta=90.00 gamma=90.00
Last column: nearest neighbours and their distance in Å.
Atoms (fractional coordinates):
Zn  0.0000  0.5000  0.0000  2 Se 2.40
Zn  0.0000  0.0000  0.5000  2 Se 2.40
Se  0.0000  0.0000  0.0000  6 Zn 2.40
Mn  0.5000  0.5000  0.5000  12 Zn 3.39
Zn  0.5000  0.0000  0.0000  2 Se 2.40

Properties
Raw formation energy ... 0.910 eV/atom



9.
Here is a relaxed LaIn3N crystal from the Alexandria database. Energies are from PBEsol.

Unit cell a=4.8301 b=4.8301 c=4.8301 alpha=90.00 beta=90.00 gamma=90.00
Last column: nearest neighbours and their distance in Å.
Atoms (fractional coordinates):
In  0.5000  0.0000  0.0000  2 N 2.42
La  0.5000  0.5000  0.5000  12 In 3.42
In  0.0000  0.5000  0.0000  2 N 2.42
In  0.0000  0.0000  0.5000  2 N 2.42
N  0.0000  0.0000  0.0000  6 In 2.42

Properties
Raw formation energy ... 0.203 eV/atom



10.
Here is a relaxed YBi3Cl crystal from the Alexandria database. Energies are from PBEsol.

Unit cell a=5.3786 b=5.3786 c=5.3786 alpha=90.00 beta=90.00 gamma=90.00
Last column: nearest neighbours and their distance in Å.
Atoms (fractional coordinates):
Bi  0.5000  0.0000  0.0000  2 Cl 2.69
Cl  0.0000  0.0000  0.0000  6 Bi 2.69
Bi  0.0000  0.0000  0.5000  2 Cl 2.69
Y  0.5000  0.5000  0.5000  12 Bi 3.80
Bi  0.0000  0.5000  0.0000  2 Cl 2.69

Properties
Raw formation energy ... 0.109 eV/atom



11.
Here is a relaxed Bi4I2O5 crystal from the Alexandria database. Energies are from PBEsol.

Unit cell a=5.6866 b=11.1744 c=14.8511 alpha=99.41 beta=90.00 gamma=90.00
Last column: nearest neighbours and their distance in Å.
Atoms (fractional coordinates):
O  0.0477  0.4201  0.9114  3 Bi 2.21-2.47
Bi  0.7559  0.9078  0.2928  4 O 2.21-2.33
I  0.2294  0.3919  0.5537  4 Bi 3.31-3.60, 2 O 3.55-3.60
Bi  0.8537  0.5909  0.9566  3 O 2.21-2.33
O  0.5079  0.2447  0.7460  3 Bi 2.23-2.34
O  0.6969  0.4491  0.7137  2 Bi 2.11-2.22
I  0.7517  0.9446  0.7785  7 Bi 3.49-3.69, 6 O 3.73-3.88
O  0.5427  0.4240  0.9068  3 Bi 2.19-2.33
O  0.1969  0.5509  0.2863  2 Bi 2.11-2.22
Bi  0.7604  0.2669  0.6327  3 O 2.20-2.26
I  0.2397  0.1162  0.9503  3 Bi 3.28-3.58, 1 O 3.55
O  0.0041  0.6378  0.8065  2 Bi 2.13-2.15
Bi  0.7969  0.2674  0.8822  4 O 2.21-2.45
O  0.0208  0.2510  0.7397  3 Bi 2.20-2.45
Bi  0.2969  0.7326  0.1178  4 O 2.21-2.45
Bi  0.3265  0.4338  0.7859  3 O 2.19-2.38
O  0.5101  0.9232  0.4194  3 Bi 2.27-2.33
O  0.5041  0.3622  0.1935  2 Bi 2.13-2.15
Bi  0.2604  0.7331  0.3673  3 O 2.20-2.26
O  0.0427  0.5760  0.0932  3 Bi 2.19-2.33
O  0.9954  0.9202  0.4184  3 Bi 2.28-2.30
Bi  0.7521  0.9227  0.5406  4 O 2.27-2.29
O  0.5034  0.6431  0.8095  2 Bi 2.11-2.14
O  0.0079  0.7553  0.2540  3 Bi 2.23-2.34
Bi  0.2520  0.7793  0.8535  3 O 2.11-2.15
O  0.0034  0.3569  0.1905  2 Bi 2.11-2.14
I  0.2499  0.7759  0.6159  7 Bi 3.52-3.64, 6 O 3.71-3.87
Bi  0.2521  0.0773  0.4594  4 O 2.27-2.29
I  0.7499  0.2241  0.3841  7 Bi 3.52-3.64, 6 O 3.71-3.87
O  0.5208  0.7490  0.2603  3 Bi 2.20-2.45
O  0.4954  0.0798  0.5816  3 Bi 2.28-2.30
I  0.7294  0.6081  0.4463  4 Bi 3.31-3.60, 2 O 3.55-3.60
Bi  0.3537  0.4091  0.0434  3 O 2.21-2.33
O  0.7129  0.3113  0.0334  3 Bi 2.11-2.31
Bi  0.8265  0.5662  0.2141  3 O 2.19-2.38
I  0.7397  0.8838  0.0497  3 Bi 3.28-3.58, 1 O 3.55
Bi  0.2510  0.3677  0.2997  3 O 2.11-2.14
Bi  0.2559  0.0922  0.7072  4 O 2.21-2.33
I  0.2517  0.0554  0.2215  7 Bi 3.49-3.69, 6 O 3.73-3.88
O  0.5477  0.5799  0.0886  3 Bi 2.21-2.47
Bi  0.7510  0.6323  0.7003  3 O 2.11-2.14
Bi  0.7520  0.2207  0.1465  3 O 2.11-2.15
O  0.2129  0.6887  0.9666  3 Bi 2.11-2.31
O  0.0101  0.0768  0.5806  3 Bi 2.27-2.33

Properties
Raw formation energy ... -1.128 eV/atom



12.
Here is a relaxed LiFeBO3 crystal from the Alexandria database. Energies are from PBEsol.

Unit cell a=2.8794 b=8.2610 c=8.2610 alpha=120.00 beta=90.00 gamma=90.00
Last column: nearest neighbours and their distance in Å.
Atoms (fractional coordinates):
Fe  0.5000  0.9913  0.3076  4 O 1.90-2.07
O  0.5000  0.5561  0.4151  1 B 1.38
Li  0.0000  0.0113  0.6393  5 O 2.01-2.08
O  0.0000  0.8993  0.8063  1 B 1.39
O  0.5000  0.2201  0.7460  1 B 1.38
Fe  0.5000  0.6924  0.6837  4 O 1.90-2.07
Fe  0.5000  0.3163  0.0087  4 O 1.90-2.07
Li  0.0000  0.6280  0.9887  5 O 2.01-2.08
O  0.0000  0.1937  0.0930  1 B 1.39
O  0.5000  0.2540  0.4742  1 B 1.38
B  0.5000  0.3333  0.6667  3 O 1.38
O  0.5000  0.5849  0.1411  1 B 1.38
B  0.0000  0.0000  0.0000  3 O 1.39
B  0.5000  0.6667  0.3333  3 O 1.38
O  0.5000  0.5258  0.7799  1 B 1.38
O  0.0000  0.9070  0.1007  1 B 1.39
Li  0.0000  0.3607  0.3720  5 O 2.01-2.08
O  0.5000  0.8589  0.4439  1 B 1.38

Properties
Raw formation energy ... -1.822 eV/atom



13.
Here is a relaxed TiCu2PtRh crystal from the Alexandria database. Energies are from PBEsol.

Unit cell a=4.3429 b=4.5007 c=4.5007 alpha=90.00 beta=90.00 gamma=90.00
Last column: nearest neighbours and their distance in Å.
Atoms (fractional coordinates):
Cu  0.0000  0.5000  0.0000  2 Rh 2.25
Pt  0.5000  0.5000  0.5000  8 Cu 3.13, 4 Ti 3.18
Rh  0.0000  0.0000  0.0000  2 Ti 2.17, 4 Cu 2.25
Ti  0.5000  0.0000  0.0000  2 Rh 2.17
Cu  0.0000  0.0000  0.5000  2 Rh 2.25

Properties
DFT formation energy ... 0.877 eV/atom



14.
Here is a relaxed PIrW2 crystal from the Alexandria database. Energies are from PBEsol.

Unit cell a=2.8353 b=3.9483 c=5.2951 alpha=90.00 beta=105.53 gamma=90.00
Last column: nearest neighbours and their distance in Å.
Atoms (fractional coordinates):
W  0.9533  0.0000  0.9066  4 P 2.64, 3 Ir 2.75, 6 W 2.82-2.84
Ir  0.6839  0.0000  0.3679  2 P 2.38
W  0.3128  0.5000  0.6255  1 P 2.46
P  0.5538  0.5000  0.1076  2 Ir 2.38, 5 W 2.46-2.64

Properties
DFT formation energy ... -0.131 eV/atom



15.
Here is a relaxed Rh5W3 crystal from the Alexandria database. Energies are from PBEsol.

Unit cell a=3.8311 b=5.4421 c=5.4421 alpha=90.16 beta=90.00 gamma=90.00
Last column: nearest neighbours and their distance in Å.
Atoms (fractional coordinates):
Rh  0.5000  0.7468  0.2532  6 W 2.70-2.73, 6 Rh 2.71-2.73
Rh  0.0000  0.0000  0.0000  4 W 2.69, 8 Rh 2.72-2.73
W  0.0000  0.5000  0.5000  8 Rh 2.70-2.72, 4 W 2.74
Rh  0.0000  0.0000  0.5000  6 Rh 2.71-2.72, 6 W 2.72
W  0.5000  0.7541  0.7541  10 Rh 2.69-2.73, 2 W 2.74
Rh  0.5000  0.2532  0.7468  6 W 2.70-2.73, 6 Rh 2.71-2.73
Rh  0.0000  0.5000  0.0000  6 Rh 2.71-2.72, 6 W 2.72
W  0.5000  0.2459  0.2459  10 Rh 2.69-2.73, 2 W 2.74

Properties
DFT formation energy ... -0.185 eV/atom



16.
Here is a relaxed CdCo2P crystal from the Alexandria database. Energies are from PBEsol.

Unit cell a=2.7661 b=2.7661 c=8.4447 alpha=80.57 beta=80.57 gamma=60.00
Last column: nearest neighbours and their distance in Å.
Atoms (fractional coordinates):
Co  0.0114  0.0114  0.9657  3 Co 2.46
Cd  0.2545  0.2545  0.2366  3 Co 2.76, 6 Cd 2.77
P  0.4809  0.4809  0.5573  3 Co 2.20
Co  0.7532  0.7532  0.7403  3 P 2.20, 3 Co 2.46

Properties
DFT formation energy ... 0.177 eV/atom



17.
Here is a relaxed SrBe2P crystal from the Alexandria database. Energies are from PBEsol.

Unit cell a=3.7271 b=4.9534 c=4.9534 alpha=75.28 beta=67.90 gamma=67.90
Last column: nearest neighbours and their distance in Å.
Atoms (fractional coordinates):
Be  0.1013  0.8987  0.8987  1 P 2.06, 2 Be 2.14
Sr  0.2451  0.2549  0.2549  4 P 3.02-3.21, 4 Be 3.09-3.18
P  0.4004  0.5996  0.5996  3 Be 2.06-2.12
Be  0.7532  0.7468  0.7468  2 P 2.12, 2 Be 2.14

Properties
DFT formation energy ... -0.026 eV/atom



18.
Here is a relaxed ScAsIr crystal from the Alexandria database. Energies are from PBEsol.

Unit cell a=3.0609 b=4.2764 c=4.2764 alpha=120.00 beta=90.00 gamma=90.00
Last column: nearest neighbours and their distance in Å.
Atoms (fractional coordinates):
Sc  0.5000  0.6667  0.3333  6 Ir 2.90, 6 As 2.90, 2 Sc 3.06
Ir  0.0000  0.3333  0.6667  3 As 2.47
As  0.0000  0.0000  0.0000  3 Ir 2.47

Properties
DFT formation energy ... -0.926 eV/atom



19.
Here is a relaxed LaMg2Os crystal from the Alexandria database. Energies are from PBEsol.

Unit cell a=3.1570 b=3.1570 c=8.3910 alpha=90.00 beta=90.00 gamma=90.00
Last column: nearest neighbours and their distance in Å.
Atoms (fractional coordinates):
Mg  0.0000  0.0000  0.8182  4 Os 2.70
Mg  0.0000  0.0000  0.1818  4 Os 2.70
La  0.5000  0.5000  0.5000  4 La 3.16, 8 Mg 3.48
Os  0.5000  0.5000  0.0000  8 Mg 2.70

Properties
DFT formation energy ... 0.290 eV/atom



20.
Here is a relaxed Be2ReBi2 crystal from the Alexandria database. Energies are from PBEsol.

Unit cell a=3.7192 b=6.7419 c=6.7419 alpha=90.00 beta=90.00 gamma=90.00
Last column: nearest neighbours and their distance in Å.
Atoms (fractional coordinates):
Bi  0.5000  0.3198  0.1802  6 Be 2.62-2.80
Bi  0.5000  0.1802  0.6802  6 Be 2.62-2.80
Be  0.0000  0.1261  0.3739  1 Be 2.40, 2 Bi 2.62, 2 Re 2.66
Be  0.0000  0.6261  0.1261  1 Be 2.40, 2 Bi 2.62, 2 Re 2.66
Be  0.0000  0.8739  0.6261  1 Be 2.40, 2 Bi 2.62, 2 Re 2.66
Bi  0.5000  0.8198  0.3198  6 Be 2.62-2.80
Re  0.0000  0.5000  0.5000  4 Be 2.66
Be  0.0000  0.3739  0.8739  1 Be 2.40, 2 Bi 2.62, 2 Re 2.66
Bi  0.5000  0.6802  0.8198  6 Be 2.62-2.80
Re  0.0000  0.0000  0.0000  4 Be 2.66

Properties
DFT formation energy ... 0.826 eV/atom